Entry from Alexandria: an optimized crystal structure of LiBeCr2 (GGA-PBE).

The space group is I4/mmm (No. 139) and the conventional cell measures 3.287, 3.287 and 7.944 Å, with angles of 90.00, 90.00 and 90.00 degrees. The inequivalent atoms are Li at (0.000, 0.000, 0.000), Be at (0.000, 0.000, 0.500) and Cr at (0.000, 0.500, 0.250).

The total energy comes out at -5.871 eV per atom. For the magnetic moment, the calculation gives 0.0 μB/f.u. For the formation energy, the calculation gives 0.351 eV/atom.